DFT (GGA-PBE) results for a relaxed YGaBi crystal.

As for the crystal system: hexagonal. The size of the total moment is 0.00 μB per atom. The formation energy comes out at -0.2407 eV/atom. The calculation puts the uncorrected energy at -84.6 eV/cell.

It has space group P6_222 (No. 180), with a = 6.7841 Å, b = 6.7841 Å, c = 12.7961 Å, α = 90.00°, β = 90.00° and γ = 120.00°. The distinct sites, in fractional coordinates, are Y at (0.0000, 0.5000, 0.3856), Ga at (0.2039, 0.6019, 0.1667), Bi at (0.0000, 0.0000, 0.1667) and Bi at (0.0000, 0.5000, 0.6667).

---

DFT (GGA-PBE) results for a relaxed PmHoTmMg crystal.

As for the crystal system: tetragonal. The size of the total moment is 0.00 μB per atom. The formation energy comes out at -0.0237 eV/atom. The calculation puts the uncorrected energy at -15.5 eV/cell.

It has space group P4mm (No. 99), with a = 3.575 Å, b = 3.575 Å, c = 9.328 Å, α = 90.00°, β = 90.00° and γ = 90.00°. The distinct sites, in fractional coordinates, are Pm at (0.000, 0.000, 0.000), Ho at (0.500, 0.500, 0.730), Tm at (0.000, 0.000, 0.473) and Mg at (0.500, 0.500, 0.244).

---

DFT (GGA-PBE) results for a relaxed Na2InTeS4 crystal.

As for the crystal system: monoclinic. The size of the total moment is 0.00 μB per atom. The calculation puts the uncorrected energy at -119.1 eV/cell. Its uncorrected formation energy is -593 meV/atom.

It has space group C2/c (No. 15), with a = 11.112 Å, b = 10.999 Å, c = 7.806 Å, α = 90.00°, β = 129.21° and γ = 90.00°. The distinct sites, in fractional coordinates, are Na at (0.000, 0.000, 0.000), Na at (0.250, 0.250, 0.000), In at (0.000, 0.500, 0.000), Te at (0.250, 0.250, 0.500), S at (0.025, 0.258, 0.524) and S at (0.216, 0.492, 0.439).

---

DFT (GGA-PBE) results for a relaxed CoCuAu4 crystal.

As for the crystal system: cubic. The size of the total moment is 0.36 μB per atom. The formation energy comes out at 0.4949 eV/atom. The calculation puts the uncorrected energy at -85.4 eV/cell.

It has space group F-43m (No. 216), with a = 7.657 Å, b = 7.657 Å, c = 7.657 Å, α = 90.00°, β = 90.00° and γ = 90.00°. The distinct sites, in fractional coordinates, are Co at (0.000, 0.000, 0.000), Cu at (0.250, 0.250, 0.750) and Au at (0.125, 0.125, 0.375).

---

DFT (GGA-PBE) results for a relaxed Rb2FeAgI6 crystal.

As for the crystal system: tetragonal. The size of the total moment is 0.00 μB per atom. The calculation puts the uncorrected energy at -56.0 eV/cell. Its uncorrected formation energy is -547 meV/atom.

It has space group I4/mmm (No. 139), with a = 8.059 Å, b = 8.059 Å, c = 11.424 Å, α = 90.00°, β = 90.00° and γ = 90.00°. The distinct sites, in fractional coordinates, are Rb at (0.000, 0.500, 0.250), Fe at (0.000, 0.000, 0.000), Ag at (0.000, 0.000, 0.500), I at (0.000, 0.000, 0.236) and I at (0.236, 0.236, 0.000).

---

DFT (GGA-PBE) results for a relaxed Li2Ac2HgPd5 crystal.

As for the crystal system: tetragonal. The size of the total moment is 0.00 μB per atom. The formation energy comes out at -0.5881 eV/atom. The calculation puts the uncorrected energy at -88.4 eV/cell.

It has space group P4/mbm (No. 127), with a = 9.813 Å, b = 9.813 Å, c = 3.997 Å, α = 90.00°, β = 90.00° and γ = 90.00°. The distinct sites, in fractional coordinates, are Li at (0.114, 0.386, 0.000), Ac at (0.183, 0.683, 0.000), Hg at (0.000, 0.000, 0.000), Pd at (0.000, 0.500, 0.500) and Pd at (0.065, 0.214, 0.500).

---

DFT (GGA-PBE) results for a relaxed RbLiMoS4 crystal.

As for the crystal system: monoclinic. The size of the total moment is 0.00 μB per atom. The calculation puts the uncorrected energy at -72.7 eV/cell. Its uncorrected formation energy is -876 meV/atom.

It has space group P2_1/m (No. 11), with a = 6.006 Å, b = 7.537 Å, c = 9.545 Å, α = 90.00°, β = 107.29° and γ = 90.00°. The distinct sites, in fractional coordinates, are Rb at (0.200, 0.250, 0.378), Li at (0.182, 0.250, 0.823), Mo at (0.335, 0.750, 0.210), S at (0.051, 0.750, 0.003), S at (0.176, 0.750, 0.393) and S at (0.444, 0.015, 0.778).

---

DFT (GGA-PBE) results for a relaxed Ga2HgGeIr crystal.

As for the crystal system: tetragonal. The size of the total moment is 0.00 μB per atom. The formation energy comes out at -0.0724 eV/atom. The calculation puts the uncorrected energy at -20.2 eV/cell.

It has space group P4/mmm (No. 123), with a = 4.886 Å, b = 4.886 Å, c = 4.795 Å, α = 90.00°, β = 90.00° and γ = 90.00°. The distinct sites, in fractional coordinates, are Ga at (0.000, 0.500, 0.000), Hg at (0.000, 0.000, 0.500), Ge at (0.500, 0.500, 0.500) and Ir at (0.500, 0.500, 0.000).

---

Which formula does entry 7 have? RbLiMoS4